This record from Alexandria describes a geometry-optimized Ba2AlWO6 structure. The functional is GGA+U.

The volume comes out at 14.07 A^3/atom. The energy comes out at -7.07 eV per atom.

The structure belongs to space group R-3m (No. 166, hexagonal axes); the cell edges are 5.8464, 5.8464 and 28.5226 Å and the angles 90.00°, 90.00° and 120.00°. Symmetry generates all atoms from Ba at (0.0000, 0.0000, 0.1242), Ba at (0.0000, 0.0000, 0.2855), Al at (0.0000, 0.0000, 0.4029), W at (0.0000, 0.0000, 0.0000), W at (0.0000, 0.0000, 0.5000), O at (0.0090, 0.5045, 0.2918) and O at (0.0319, 0.5159, 0.1241).